# 1
This record from Alexandria describes BaGe2Pt5 after structural relaxation. The functional is PBE.

Output
crystal system: orthorhombic
calculated formation energy: -0.587 eV per atom
energy: -46.05 eV for the cell shown

Lattice parameters (Å, degrees): 6.5640 6.5640 6.5640 143.70 112.57 79.06
Atoms (fractional coordinates):
Ba 0.0000 0.0000 0.0000
Ge 0.2551 0.7551 0.5000
Ge 0.7449 0.2449 0.5000
Pt 0.1576 0.3495 0.8081
Pt 0.4585 0.6505 0.8081
Pt 0.5000 0.0000 0.5000
Pt 0.5415 0.3495 0.1919
Pt 0.8424 0.6505 0.1919

---

# 2
This record from Alexandria describes Ba2Ge2Pt after structural relaxation. The functional is PBE.

Output
crystal system: tetragonal
calculated formation energy: -0.479 eV per atom
energy: -43.03 eV for the cell shown

Lattice parameters (Å, degrees): 7.0239 7.0239 5.3281 90.00 90.00 90.00
Atoms (fractional coordinates):
Ba 0.1715 0.3285 0.0000
Ba 0.3285 0.8285 0.0000
Ba 0.6715 0.1715 0.0000
Ba 0.8285 0.6715 0.0000
Ge 0.1355 0.6355 0.5000
Ge 0.3645 0.1355 0.5000
Ge 0.6355 0.8645 0.5000
Ge 0.8645 0.3645 0.5000
Pt 0.0000 0.0000 0.5000
Pt 0.5000 0.5000 0.5000

---

# 3
This record from Alexandria describes BaGe3Pt6 after structural relaxation. The functional is PBE.

Output
crystal system: trigonal
calculated formation energy: -0.495 eV per atom
energy: -56.97 eV for the cell shown

Lattice parameters (Å, degrees): 6.5589 6.5589 6.5589 60.15 60.15 60.15
Atoms (fractional coordinates):
Ba 0.0000 0.0000 0.0000
Ge 0.2132 0.2132 0.2132
Ge 0.3882 0.3882 0.3882
Ge 0.7766 0.7766 0.7766
Pt 0.2148 0.5072 0.7610
Pt 0.4825 0.5308 0.9386
Pt 0.5072 0.7610 0.2148
Pt 0.5308 0.9386 0.4825
Pt 0.7610 0.2148 0.5072
Pt 0.9386 0.4825 0.5308

---

# 4
This record from Alexandria describes BaGe2Pt2 after structural relaxation. The functional is PBE.

Output
crystal system: tetragonal
calculated formation energy: -0.272 eV per atom
energy: -49.20 eV for the cell shown

Lattice parameters (Å, degrees): 8.1090 8.1090 3.2746 90.00 90.00 90.00
Atoms (fractional coordinates):
Ba 0.0000 0.0000 0.0000
Ba 0.5000 0.5000 0.0000
Ge 0.1396 0.3604 0.5000
Ge 0.3604 0.8604 0.5000
Ge 0.6396 0.1396 0.5000
Ge 0.8604 0.6396 0.5000
Pt 0.1232 0.6232 0.0000
Pt 0.3768 0.1232 0.0000
Pt 0.6232 0.8768 0.0000
Pt 0.8768 0.3768 0.0000

---

# 5
This record from Alexandria describes BaGe4Pt2 after structural relaxation. The functional is PBE.

Output
crystal system: orthorhombic
calculated formation energy: -0.506 eV per atom
energy: -144.07 eV for the cell shown

Lattice parameters (Å, degrees): 18.1825 4.4851 6.9594 90.00 90.00 90.00
Atoms (fractional coordinates):
Ba 0.1423 0.2500 0.0041
Ba 0.3577 0.7500 0.5041
Ba 0.6423 0.2500 0.4959
Ba 0.8577 0.7500 0.9959
Ge 0.0309 0.7500 0.1483
Ge 0.0642 0.2500 0.5326
Ge 0.1792 0.7500 0.6884
Ge 0.1937 0.7500 0.2951
Ge 0.3063 0.2500 0.7951
Ge 0.3208 0.2500 0.1884
Ge 0.4358 0.7500 0.0326
Ge 0.4691 0.2500 0.6483
Ge 0.5309 0.7500 0.3517
Ge 0.5642 0.2500 0.9674
Ge 0.6792 0.7500 0.8116
Ge 0.6937 0.7500 0.2049
Ge 0.8063 0.2500 0.7049
Ge 0.8208 0.2500 0.3116
Ge 0.9358 0.7500 0.4674
Ge 0.9691 0.2500 0.8517
Pt 0.0292 0.7500 0.7447
Pt 0.2058 0.2500 0.4935
Pt 0.2942 0.7500 0.9935
Pt 0.4708 0.2500 0.2447
Pt 0.5292 0.7500 0.7553
Pt 0.7058 0.2500 0.0065
Pt 0.7942 0.7500 0.5065
Pt 0.9708 0.2500 0.2553

---

# 6
This record from Alexandria describes Ba2PuGe3Pt4 after structural relaxation. The functional is PBE.

Output
crystal system: tetragonal
calculated formation energy: -0.729 eV per atom
energy: -63.49 eV for the cell shown

Lattice parameters (Å, degrees): 4.5442 4.5442 11.0099 90.00 90.00 90.00
Atoms (fractional coordinates):
Ba 0.0000 0.5000 0.2358
Ba 0.5000 0.0000 0.7642
Pu 0.0000 0.0000 0.5000
Ge 0.0000 0.5000 0.8874
Ge 0.5000 0.0000 0.1126
Ge 0.5000 0.5000 0.5000
Pt 0.0000 0.0000 0.0000
Pt 0.0000 0.5000 0.6526
Pt 0.5000 0.0000 0.3474
Pt 0.5000 0.5000 0.0000

---

# 7
This record from Alexandria describes Ba2GePtRh after structural relaxation. The functional is PBE.

Output
crystal system: tetragonal
calculated formation energy: -0.691 eV per atom
energy: -50.62 eV for the cell shown

Lattice parameters (Å, degrees): 4.3966 4.3966 15.3557 90.00 90.00 90.00
Atoms (fractional coordinates):
Ba 0.2500 0.2500 0.0955
Ba 0.2500 0.2500 0.6780
Ba 0.7500 0.7500 0.3220
Ba 0.7500 0.7500 0.9045
Ge 0.2500 0.2500 0.4192
Ge 0.7500 0.7500 0.5808
Pt 0.2500 0.2500 0.8815
Pt 0.7500 0.7500 0.1185
Rh 0.2500 0.7500 0.5000
Rh 0.7500 0.2500 0.5000

---

# 8
This record from Alexandria describes BaGe3PtRh after structural relaxation. The functional is PBE.

Output
crystal system: orthorhombic
calculated formation energy: -0.497 eV per atom
energy: -64.30 eV for the cell shown

Lattice parameters (Å, degrees): 7.3092 7.3092 6.4790 90.00 90.00 125.35
Atoms (fractional coordinates):
Ba 0.2464 0.7536 0.7500
Ba 0.7536 0.2464 0.2500
Ge 0.2360 0.7640 0.2500
Ge 0.2608 0.2608 0.0000
Ge 0.2608 0.2608 0.5000
Ge 0.7392 0.7392 0.0000
Ge 0.7392 0.7392 0.5000
Ge 0.7640 0.2360 0.7500
Pt 0.4156 0.5844 0.2500
Pt 0.5844 0.4156 0.7500
Rh 0.0607 0.9393 0.2500
Rh 0.9393 0.0607 0.7500